# Li2VF6 PBE+U relaxed
# final energy = -5.3309 eV/atom
data_Li2VF6
_chemical_formula_sum 'Li12 V6 F36'
_cell_length_a 15.1889
_cell_length_b 8.7176
_cell_length_c 4.5336
_cell_angle_alpha 90.00
_cell_angle_beta 90.51
_cell_angle_gamma 90.00
_symmetry_space_group_name_H-M 'C 1 2/m 1'
_symmetry_Int_Tables_number 12
loop_
_symmetry_equiv_pos_as_xyz
'x,y,z'
'-x,-y,-z'
'-x,y,-z'
'x,-y,z'
'x+1/2,y+1/2,z'
'-x+1/2,-y+1/2,-z'
'-x+1/2,y+1/2,-z'
'x+1/2,-y+1/2,z'
loop_
_atom_site_label
_atom_site_type_symbol
_atom_site_fract_x
_atom_site_fract_y
_atom_site_fract_z
Li1 Li 0.0000 0.1552 0.0000
Li2 Li 0.1726 0.3299 0.0090
V1 V 0.0000 0.5000 0.0000
V2 V 0.1671 0.0000 0.4925
F1 F 0.0540 0.3390 0.2126
F2 F 0.0640 0.0000 0.2446
F3 F 0.1055 0.5000 0.7869
F4 F 0.1167 0.1503 0.7311
F5 F 0.2189 0.1513 0.2481
F6 F 0.2300 0.5000 0.2650